Record 1
Density functional theory data (PBE) for a geometry-optimized Tb6Sm4Ho structure.

Calculated values
Energy of formation = 0.391 eV per atom
Offset from the most stable computed form = 0 meV/atom
Crystal system = tetragonal
E_tot = -46.93 eV for the cell shown
Space group = No. 121
Fermi-level density of states = 14.1 states/eV/cell

abc: 8.5819 8.5819 8.5819
angles: 128.03 128.03 76.57
Last column: nearest neighbours and their distance in Å.
Fractional positions:
Tb 0.0000 0.5000 0.5000  4 Tb 3.00
Tb 0.2534 0.2534 0.6663  4 Tb 3.00-3.30, 1 Sm 3.21
Tb 0.4128 0.7466 0.0000  4 Tb 3.00-3.30, 1 Sm 3.21
Tb 0.5000 0.0000 0.5000  4 Tb 3.00
Tb 0.5872 0.5872 0.3337  4 Tb 3.00-3.30, 1 Sm 3.21
Tb 0.7466 0.4128 0.0000  4 Tb 3.00-3.30, 1 Sm 3.21
Sm 0.0407 0.5848 0.0000  1 Tb 3.21, 1 Ho 3.50
Sm 0.4152 0.4152 0.4559  1 Tb 3.21, 1 Ho 3.50
Sm 0.5848 0.0407 0.0000  1 Tb 3.21, 1 Ho 3.50
Sm 0.9593 0.9593 0.5441  1 Tb 3.21, 1 Ho 3.50
Ho 0.0000 0.0000 0.0000  4 Sm 3.50, 8 Tb 3.70-3.76


Record 2
Density functional theory data (PBE) for a geometry-optimized Ni2AsPt2 structure.

Calculated values
Energy of formation = -0.016 eV per atom
Offset from the most stable computed form = 0 meV/atom
Crystal system = tetragonal
E_tot = -56.75 eV for the cell shown
Space group = No. 127
Fermi-level density of states = 8.9 states/eV/cell

abc: 6.0498 6.0498 3.8912
angles: 90.00 90.00 90.00
Last column: nearest neighbours and their distance in Å.
Fractional positions:
Ni 0.1399 0.3601 0.0000  2 As 2.34, 1 Ni 2.39, 2 Pt 2.58
Ni 0.3601 0.8601 0.0000  2 As 2.34, 1 Ni 2.39, 2 Pt 2.58
Ni 0.6399 0.1399 0.0000  2 As 2.34, 1 Ni 2.39, 2 Pt 2.58
Ni 0.8601 0.6399 0.0000  2 As 2.34, 1 Ni 2.39, 2 Pt 2.58
As 0.0000 0.0000 0.0000  4 Ni 2.34
As 0.5000 0.5000 0.0000  4 Ni 2.34
Pt 0.1612 0.6612 0.5000  6 Ni 2.58-2.67, 1 Pt 2.76
Pt 0.3388 0.1612 0.5000  6 Ni 2.58-2.67, 1 Pt 2.76
Pt 0.6612 0.8388 0.5000  6 Ni 2.58-2.67, 1 Pt 2.76
Pt 0.8388 0.3388 0.5000  6 Ni 2.58-2.67, 1 Pt 2.76


Record 3
Density functional theory data (PBE) for a geometry-optimized SrCeCuIr structure.

Calculated values
Energy of formation = -0.170 eV per atom
Crystal system = cubic
E_tot = -21.25 eV for the cell shown
Space group = No. 216
Fermi-level density of states = 7.2 states/eV/cell

abc: 5.0476 5.0476 5.0476
angles: 60.00 60.00 60.00
Last column: nearest neighbours and their distance in Å.
Fractional positions:
Sr 0.0000 0.0000 0.0000  4 Ir 3.09, 4 Cu 3.09
Ce 0.5000 0.5000 0.5000  4 Cu 3.09, 4 Ir 3.09
Cu 0.7500 0.7500 0.7500  4 Ce 3.09, 4 Sr 3.09
Ir 0.2500 0.2500 0.2500  4 Ce 3.09, 4 Sr 3.09


Record 4
Density functional theory data (PBE) for a geometry-optimized YSi structure.

Calculated values
Crystal system = tetragonal
E_tot = -51.06 eV for the cell shown
Space group = No. 136
Fermi-level density of states = 4.3 states/eV/cell

abc: 5.7320 5.7320 5.7760
angles: 90.00 90.00 90.00
Last column: nearest neighbours and their distance in Å.
Fractional positions:
Y 0.1923 0.1923 0.0000  4 Si 2.81-2.90, 1 Y 3.12
Y 0.3077 0.6923 0.5000  4 Si 2.81-2.90, 1 Y 3.12
Y 0.6923 0.3077 0.5000  4 Si 2.81-2.90, 1 Y 3.12
Y 0.8077 0.8077 0.0000  4 Si 2.81-2.90, 1 Y 3.12
Si 0.1596 0.1596 0.5000  1 Si 2.59, 2 Y 2.81
Si 0.3404 0.6596 0.0000  1 Si 2.59, 2 Y 2.81
Si 0.6596 0.3404 0.0000  1 Si 2.59, 2 Y 2.81
Si 0.8404 0.8404 0.5000  1 Si 2.59, 2 Y 2.81


Record 5
Density functional theory data (PBE) for a geometry-optimized Hf6Pd3O structure.

Calculated values
Crystal system = monoclinic
E_tot = -176.44 eV for the cell shown
Space group = No. 14
Fermi-level density of states = 15.5 states/eV/cell

abc: 5.7530 7.3070 10.2105
angles: 90.00 120.06 90.00
Last column: nearest neighbours and their distance in Å.
Fractional positions:
Hf 0.0637 0.0600 0.2370  1 O 2.30
Hf 0.0637 0.4400 0.7370  1 O 2.30
Hf 0.2075 0.7265 0.0713  1 O 2.25
Hf 0.2075 0.7735 0.5713  1 O 2.25
Hf 0.3825 0.1456 0.0454  1 O 2.27
Hf 0.3825 0.3544 0.5454  1 O 2.27
Hf 0.6175 0.6456 0.4546  1 O 2.27
Hf 0.6175 0.8544 0.9546  1 O 2.27
Hf 0.7925 0.2265 0.4287  1 O 2.25
Hf 0.7925 0.2735 0.9287  1 O 2.25
Hf 0.9363 0.5600 0.2630  1 O 2.30
Hf 0.9363 0.9400 0.7630  1 O 2.30
Pd 0.3185 0.1021 0.7162  6 Hf 2.69-2.93, 1 Pd 2.97
Pd 0.3185 0.3979 0.2162  6 Hf 2.69-2.93, 1 Pd 2.97
Pd 0.5000 0.0000 0.5000  6 Hf 2.64-2.77
Pd 0.5000 0.5000 0.0000  6 Hf 2.64-2.77
Pd 0.6815 0.6021 0.7838  6 Hf 2.69-2.93, 1 Pd 2.97
Pd 0.6815 0.8979 0.2838  6 Hf 2.69-2.93, 1 Pd 2.97
O 0.0000 0.0000 0.0000  6 Hf 2.25-2.30
O 0.0000 0.5000 0.5000  6 Hf 2.25-2.30


Record 6
Density functional theory data (PBE) for a geometry-optimized CaGaCu2Au4 structure.

Calculated values
Energy of formation = -0.238 eV per atom
Crystal system = trigonal
E_tot = -28.23 eV for the cell shown
Space group = No. 166
Fermi-level density of states = 3.1 states/eV/cell

abc: 7.9443 7.9443 7.9443
angles: 34.19 34.19 34.19
Last column: nearest neighbours and their distance in Å.
Fractional positions:
Ca 0.0000 0.0000 0.0000  8 Au 2.94-3.04, 6 Cu 3.17
Ga 0.5000 0.5000 0.5000  8 Au 2.55-2.79
Cu 0.2588 0.2588 0.2588  8 Au 2.74-3.03
Cu 0.7412 0.7412 0.7412  8 Au 2.74-3.03
Au 0.1356 0.1356 0.1356  4 Cu 2.76-3.03, 3 Ga 2.79, 3 Au 3.03, 1 Ca 3.04
Au 0.3861 0.3861 0.3861  1 Ga 2.55, 4 Cu 2.74-2.85
Au 0.6139 0.6139 0.6139  1 Ga 2.55, 4 Cu 2.74-2.85
Au 0.8644 0.8644 0.8644  4 Cu 2.76-3.03, 3 Ga 2.79, 3 Au 3.03, 1 Ca 3.04


Record 7
Density functional theory data (PBE) for a geometry-optimized TaV2Re2 structure.

Calculated values
Energy of formation = 0.021 eV per atom
Crystal system = orthorhombic
E_tot = -54.88 eV for the cell shown
Space group = No. 65
Fermi-level density of states = 4.6 states/eV/cell

abc: 8.0646 8.0646 3.1007
angles: 90.00 90.00 157.36
Last column: nearest neighbours and their distance in Å.
Fractional positions:
Ta 0.0000 0.0000 0.0000  8 Re 2.76, 2 V 3.02
V 0.1909 0.8091 0.0000  2 V 2.45, 4 Re 2.60
V 0.8091 0.1909 0.0000  2 V 2.45, 4 Re 2.60
Re 0.3955 0.6045 0.5000  4 V 2.60, 4 Ta 2.76
Re 0.6045 0.3955 0.5000  4 V 2.60, 4 Ta 2.76